(A)
Entry from the Alexandria database: a relaxed CdNi2Cl crystal (PBE).

Values from the calculation:
- SG = P4mm, No. 99
- ρ (g/cm³) = 6.5
- density of states at the Fermi level (states/eV per atom) = 0.640

abc: 3.1798 3.1780 6.6712
angles: 90.00 90.00 90.00
With the nearest neighbours (Å) after each atom.
Positions (direct):
Cl: 0.5000 0.5000 0.8557  5 Ni 2.30-2.50
Ni: 0.0000 0.0000 0.0201  4 Cl 2.50, 4 Ni 2.55, 1 Cd 2.70
Ni: 0.5000 0.5000 0.2000  1 Cl 2.30, 4 Ni 2.55
Cd: 0.0000 0.0000 0.4242  5 Ni 2.70

(B)
Entry from the Alexandria database: a relaxed CdNi2Cl crystal (PBE).

Values from the calculation:
- SG = P2/m, No. 10
- ρ (g/cm³) = 6.3
- density of states at the Fermi level (states/eV per atom) = 0.937

abc: 2.9514 3.8277 6.1575
angles: 89.85 90.00 90.00
With the nearest neighbours (Å) after each atom.
Positions (direct):
Cl: 0.5000 0.7500 0.7500  4 Ni 2.36
Ni: 0.0000 0.7493 0.4503  2 Cl 2.36, 1 Ni 2.47
Cd: 0.5000 0.2500 0.2500  8 Ni 2.71, 2 Cd 2.95
Ni: 0.0000 0.7507 0.0497  2 Cl 2.36, 1 Ni 2.47

(C)
Entry from the Alexandria database: a relaxed CdNi2Cl crystal (PBE).

Values from the calculation:
- SG = Cmmm, No. 65
- ρ (g/cm³) = 7.0
- density of states at the Fermi level (states/eV per atom) = 1.142

abc: 3.0242 3.0242 7.8927
angles: 90.00 90.00 118.96
With the nearest neighbours (Å) after each atom.
Positions (direct):
Cd: 0.5000 0.5000 0.2500  4 Ni 2.64
Ni: 0.0000 0.0000 0.9777  2 Cl 2.36, 2 Cd 2.64
Ni: 0.0000 0.0000 0.5223  2 Cl 2.36, 2 Cd 2.64
Cl: 0.5000 0.5000 0.7500  4 Ni 2.36

(D)
Entry from the Alexandria database: a relaxed CdNi2Cl crystal (PBE).

Values from the calculation:
- SG = F-43m, No. 216
- ρ (g/cm³) = 6.9
- density of states at the Fermi level (states/eV per atom) = 2.088

abc: 4.4851 4.4851 4.4851
angles: 60.00 60.00 60.00
With the nearest neighbours (Å) after each atom.
Positions (direct):
Ni: 0.2500 0.2500 0.2500  4 Cd 2.75, 4 Ni 2.75
Ni: 0.0000 0.0000 0.0000  4 Cl 2.75, 4 Ni 2.75
Cd: 0.5000 0.5000 0.5000  4 Cl 2.75, 4 Ni 2.75
Cl: 0.7500 0.7500 0.7500  4 Cd 2.75, 4 Ni 2.75

The least stable of the structures above is (D), whereas (B) is the most stable.